Here is a relaxed structure of PmPr2Te from Alexandria via LeMat-Bulk. Energies are from PBE.

a b c (Å): 4.946 4.946 4.918
angles (deg): 90.00 90.00 90.00
Space group P4/mmm (No. 123)
One atom of each set of equivalent atoms:
Pm 0.000 0.000 0.000 [1 per cell]
Pr 0.000 0.500 0.500 [2 per cell]
Te 0.500 0.500 0.000 [1 per cell]

Calculated values
- E_form (uncorrected) (eV/atom) = -0.54
- final energy (eV/atom) = -4.9042
- Fermi-level density of states (states/eV per cell) = 4.5

Here is a relaxed structure of Pm4PrTe5 from Alexandria via LeMat-Bulk. Energies are from PBE.

a b c (Å): 4.478 6.320 22.455
angles (deg): 90.00 90.00 90.00
Space group Immm (No. 71)
One atom of each set of equivalent atoms:
Pm 0.000 0.000 0.100 [4 per cell]
Pm 0.000 0.000 0.299 [4 per cell]
Pr 0.000 0.000 0.500 [2 per cell]
Te 0.000 0.500 0.102 [4 per cell]
Te 0.000 0.500 0.301 [4 per cell]
Te 0.000 0.500 0.500 [2 per cell]

Calculated values
- E_form (uncorrected) (eV/atom) = -1.41
- final energy (eV/atom) = -5.3605
- Fermi-level density of states (states/eV per cell) = 11.0